VASP calculation (PBE) on a relaxed NbMo4W3 crystal.

```
NbMo4W3
1.0
-3.447 -3.042 -2.808
4.275 -8.148 3.579
-3.280 0.033 3.992
Mo Nb W
8 2 6
Direct
0.727 0.127 0.500
0.061 0.370 0.249
0.911 0.882 0.500
0.411 0.118 0.000
0.561 0.630 0.251
0.561 0.630 0.749
0.061 0.370 0.751
0.227 0.873 0.000
0.412 0.878 0.500
0.912 0.122 0.000
0.061 0.640 0.749
0.061 0.640 0.251
0.222 0.132 0.500
0.561 0.360 0.249
0.722 0.868 0.000
0.561 0.360 0.751
```

Magnetization ... 0.00 μB/f.u.
ΔE_f ... 607 meV per atom
Energy ... -174.792 eV per cell
SG ... Pmn2_1



VASP calculation (PBE) on a relaxed GaHgPdF6 crystal.

```
GaHgPdF6
1.0
5.772 0.000 0.000
-2.886 4.999 0.000
0.000 0.000 9.211
F Pd Ga Hg
12 2 2 2
Direct
0.327 0.942 0.632
0.616 0.673 0.632
0.058 0.384 0.632
0.616 0.942 0.868
0.327 0.384 0.868
0.673 0.616 0.132
0.942 0.327 0.132
0.673 0.058 0.368
0.942 0.616 0.368
0.058 0.673 0.868
0.384 0.327 0.368
0.384 0.058 0.132
0.000 0.000 0.500
0.000 0.000 0.000
0.667 0.333 0.250
0.333 0.667 0.750
0.333 0.667 0.250
0.667 0.333 0.750
```

Magnetization ... 1.14 μB/f.u.
Raw formation energy ... -1.69 eV/atom
Energy ... -69.858 eV per cell
SG ... P-31c



VASP calculation (PBE) on a relaxed K2PuI5 crystal.

```
K2PuI5
1.0
-6.086 -0.064 6.616
-3.798 -7.328 -3.564
8.669 0.131 1.855
I Pu K
5 1 2
Direct
0.806 0.282 0.087
0.280 0.280 0.085
0.760 0.760 0.523
0.282 0.806 0.087
0.807 0.807 0.090
0.999 0.999 0.999
0.671 0.172 0.341
0.172 0.671 0.341
```

Magnetization ... 5.00 μB/f.u.
Raw formation energy ... -1.18 eV/atom
Energy ... -33.721 eV per cell
SG ... Cm



VASP calculation (PBE) on a relaxed Pr3SiAg crystal.

```
Pr3SiAg
1.0
4.503 -0.001 -0.002
-2.256 6.534 0.384
-0.005 0.191 9.529
Pr Ag Si
6 2 2
Direct
0.436 0.904 0.595
0.969 0.971 0.048
0.783 0.600 0.383
0.608 0.250 0.827
0.261 0.554 0.038
0.075 0.183 0.374
0.843 0.718 0.783
0.201 0.436 0.638
0.429 0.892 0.270
0.615 0.262 0.152
```

Magnetization ... 0.00 μB/f.u.
Raw formation energy ... -0.31 eV/atom
Energy ... -48.371 eV per cell
SG ... P-1



VASP calculation (PBE) on a relaxed La3Tb3Th2 crystal.

```
La3Tb3Th2
1.0
5.992 1.001 1.540
0.903 6.087 1.359
1.884 2.229 8.419
La Th Tb
3 2 3
Direct
0.133 0.634 0.733
0.000 0.000 0.000
0.867 0.366 0.267
0.253 0.253 0.495
0.747 0.747 0.505
0.627 0.127 0.745
0.373 0.873 0.255
0.500 0.500 0.000
```

Magnetization ... 0.00 μB/f.u.
ΔE_f ... 42 meV per atom
Energy ... -43.175 eV per cell
SG ... P-1



VASP calculation (PBE) on a relaxed ZrCr3Pb crystal.

```
ZrCr3Pb
1.0
4.920 0.000 0.000
0.000 4.920 0.000
0.000 0.000 4.920
Cr Zr Pb
3 1 1
Direct
0.000 0.500 0.000
0.000 0.000 0.500
0.500 0.000 0.000
0.000 0.000 0.000
0.500 0.500 0.500
```

Magnetization ... 10.20 μB/f.u.
ΔE_f ... 1523 meV per atom
Energy ... -33.510 eV per cell
SG ... Pm-3m



The lowest energy belongs to which entry? NbMo4W3